CsBiIr3: optimized geometry, PBE-GGA.

Lattice parameters (Å, degrees): 5.0311 5.0311 5.0311 90.00 90.00 90.00
Last column: nearest neighbours and their distance in Å.
Fractional coordinates of all 5 atoms:
Cs  0.0000  0.0000  0.0000  6 Ir 2.52
Bi  0.5000  0.5000  0.5000  12 Ir 3.56
Ir  0.0000  0.0000  0.5000  2 Cs 2.52
Ir  0.0000  0.5000  0.0000  2 Cs 2.52
Ir  0.5000  0.0000  0.0000  2 Cs 2.52

Results
Its density is 11.98 Mg/m³. The value obtained for the raw total energy is -17.7 eV for the cell shown. As for the energy of formation from the pure elements: 2720 meV per atom.